[1]
This record from the Alexandria database describes a relaxed ScMoP crystal. The functional is GGA-PBE.

```
ScMoP
1.0
-0.365 2.079 -2.825
-7.568 -1.634 -0.226
-1.443 6.039 4.631
Sc Mo P
4 4 4
Direct
0.000 0.579 0.213
0.500 0.213 0.421
0.500 0.787 0.579
0.000 0.421 0.787
0.000 0.848 0.876
0.500 0.876 0.152
0.000 0.152 0.124
0.500 0.124 0.848
0.500 0.361 0.074
0.000 0.074 0.639
0.500 0.639 0.926
0.000 0.926 0.361
```

Output
As for the density: 5.4 g/cm³. The calculated formation energy is -0.64 eV/atom.

***

[2]
This record from the Alexandria database describes a relaxed ScMoP3 crystal. The functional is GGA-PBE.

```
ScMoP3
1.0
-4.417 0.568 -1.598
0.357 -4.046 -2.425
-1.658 -2.385 3.735
P Sc Mo
3 1 1
Direct
0.000 0.000 0.500
0.500 0.000 0.000
0.000 0.500 0.000
0.000 0.000 0.000
0.500 0.500 0.500
```

Output
As for the density: 3.7 g/cm³. The calculation puts the relative energy among the computed polymorphs at 99.5 kJ per mole of atoms. The calculated formation energy is 1.18 eV/atom.

***

[3]
This record from the Alexandria database describes a relaxed ScMoP crystal. The functional is GGA-PBE.

```
ScMoP
1.0
1.681 -2.912 0.000
1.681 2.912 0.000
0.000 0.000 5.422
Mo P Sc
1 1 1
Direct
0.000 0.000 0.058
0.667 0.333 0.311
0.333 0.667 0.631
```

Output
As for the density: 5.4 g/cm³. The calculated formation energy is -0.50 eV/atom.

***

[4]
This record from the Alexandria database describes a relaxed ScMoP2Se crystal. The functional is GGA-PBE.

```
ScMoP2Se
1.0
-1.721 3.026 -2.880
-5.015 -0.707 2.255
0.864 3.305 2.957
Sc P Mo Se
1 2 1 1
Direct
0.000 0.500 0.000
0.000 0.000 0.500
0.500 0.000 0.000
0.000 0.000 0.000
0.500 0.500 0.500
```

Output
As for the density: 4.1 g/cm³. As for the electronic total energy: -0.229 hartree per atom.

***

[5]
This record from the Alexandria database describes a relaxed SrScMoP2 crystal. The functional is GGA-PBE.

```
SrScMoP2
1.0
-1.332 0.831 4.886
-4.446 -2.189 -0.840
1.990 -4.544 1.315
P Mo Sr Sc
2 1 1 1
Direct
0.000 0.000 0.500
0.500 0.000 0.000
0.500 0.500 0.500
0.000 0.000 0.000
0.000 0.500 0.000
```

Output
As for the density: 3.6 g/cm³. The calculated formation energy is 2.08 eV/atom.

***

[6]
This record from the Alexandria database describes a relaxed ScTiMoP2 crystal. The functional is GGA-PBE.

```
ScTiMoP2
1.0
-4.091 -1.527 -1.628
-1.669 -0.484 4.648
-1.589 4.380 -0.114
P Mo Sc Ti
2 1 1 1
Direct
0.000 0.000 0.500
0.500 0.000 0.000
0.000 0.000 0.000
0.000 0.500 0.000
0.500 0.500 0.500
```

Output
As for the density: 3.9 g/cm³. The calculated formation energy is 0.51 eV/atom.

***

[7]
This record from the Alexandria database describes a relaxed MoP2Se crystal. The functional is GGA-PBE.

```
MoP2Se
1.0
4.411 0.000 0.000
2.205 3.820 0.000
2.205 1.273 3.601
Mo Se P
1 1 2
Direct
0.500 0.500 0.500
0.750 0.750 0.750
0.250 0.250 0.250
0.000 0.000 0.000
```

Output
As for the density: 6.5 g/cm³. As for the electronic total energy: -0.214 hartree per atom.

***

[8]
This record from the Alexandria database describes a relaxed Mo3PSe3 crystal. The functional is GGA-PBE.

```
Mo3PSe3
1.0
9.043 0.001 0.000
-4.521 7.827 0.000
0.000 0.000 4.456
Se Mo P
6 6 2
Direct
0.076 0.373 0.250
0.373 0.297 0.750
0.703 0.076 0.750
0.924 0.627 0.750
0.297 0.924 0.250
0.627 0.703 0.250
0.844 0.030 0.250
0.156 0.970 0.750
0.030 0.186 0.750
0.186 0.156 0.250
0.970 0.814 0.250
0.814 0.844 0.750
0.333 0.667 0.250
0.667 0.333 0.750
```

Output
As for the density: 5.9 g/cm³. The calculation puts the relative energy among the computed polymorphs at 10.3 kJ per mole of atoms.

***

[9]
This record from the Alexandria database describes a relaxed MoPSe2 crystal. The functional is GGA-PBE.

```
MoPSe2
1.0
1.552 6.820 -0.141
-1.552 6.820 -0.141
0.000 0.458 4.084
P Se Mo
1 2 1
Direct
0.000 0.000 0.500
0.851 0.851 0.183
0.149 0.149 0.817
0.500 0.500 0.000
```

Output
As for the density: 5.5 g/cm³. As for the electronic total energy: -0.213 hartree per atom.

***

[10]
This record from the Alexandria database describes a relaxed MoP2Se crystal. The functional is GGA-PBE.

```
MoP2Se
1.0
-2.622 0.459 -0.672
-0.111 -1.042 2.537
0.661 9.561 3.957
Mo Se P
1 1 2
Direct
0.500 0.500 0.750
0.500 0.500 0.250
0.000 0.000 0.930
0.000 0.000 0.570
```

Output
As for the density: 5.2 g/cm³. As for the electronic total energy: -0.222 hartree per atom.

***

[11]
This record from the Alexandria database describes a relaxed MoP2Se crystal. The functional is GGA-PBE.

```
MoP2Se
1.0
-3.520 4.003 2.580
-4.682 2.628 -2.498
2.820 -4.921 1.702
P Mo Se
2 1 1
Direct
0.063 0.063 0.000
0.437 0.437 0.000
0.250 0.750 0.500
0.750 0.250 0.500
```

Output
As for the density: 5.5 g/cm³. As for the electronic total energy: -0.217 hartree per atom.

***

[12]
This record from the Alexandria database describes a relaxed MoPSe2 crystal. The functional is GGA-PBE.

```
MoPSe2
1.0
-3.751 -1.431 1.746
-1.534 -0.443 4.077
-3.105 6.144 0.348
Se Mo P
2 1 1
Direct
0.029 0.029 0.100
0.809 0.809 0.648
0.473 0.473 0.411
0.189 0.189 0.341
```

Output
As for the density: 5.1 g/cm³. As for the electronic total energy: -0.220 hartree per atom.

***

Please write out number 7 again, unchanged.
This record from the Alexandria database describes a relaxed MoP2Se crystal. The functional is GGA-PBE.

```
MoP2Se
1.0
4.411 0.000 0.000
2.205 3.820 0.000
2.205 1.273 3.601
Mo Se P
1 1 2
Direct
0.500 0.500 0.500
0.750 0.750 0.750
0.250 0.250 0.250
0.000 0.000 0.000
```

Output
As for the density: 6.5 g/cm³. As for the electronic total energy: -0.214 hartree per atom.

***

Among the records above, which one has the lowest density? SrScMoP2

***

The lowest density belongs to which entry? SrScMoP2

***

Number 11 is which compound? MoP2Se